# 1
Al2AgO: relaxed, PBE.

The structure in POSCAR format:
```
Al2AgO
1.0
-2.6853 2.6853 4.5172
2.6853 -2.6853 4.5172
2.6853 2.6853 -4.5172
Al Ag O
4 2 2
Cartesian
4.0280 0.8557 -1.1293
0.8557 1.3427 1.1293
-1.3427 1.8297 3.3879
1.8297 1.3427 5.6464
2.6853 0.0000 2.2586
0.0000 0.0000 4.5172
0.0000 0.0000 0.0000
0.0000 2.6853 2.2586
```

Results
Electronic total energy ... -4.5625 eV/atom
Density of states at the Fermi level ... 2.991 states/eV/cell
Formation energy (no corrections) ... -2.96 eV per formula unit

# 2
Sm2ZnHPt6: relaxed, PBE.

The structure in POSCAR format:
```
Sm2ZnHPt6
1.0
4.8935 -2.8284 0.0000
4.8935 2.8284 0.0000
-3.2488 0.0000 6.2562
Sm Zn H Pt
2 1 1 6
Cartesian
1.6387 0.0000 0.9190
4.8994 0.0000 5.3372
4.8935 0.0000 0.0000
-1.6244 0.0000 3.1281
2.4428 1.4032 4.3057
0.0169 0.0000 4.3131
4.0953 1.4032 1.9505
2.4428 -1.4032 4.3057
6.5212 0.0000 1.9431
4.0953 -1.4032 1.9505
```

Results
Electronic total energy ... -5.7808 eV/atom
Density of states at the Fermi level ... 4.322 states/eV/cell

# 3
UTl8Se6: relaxed, PBE.

The structure in POSCAR format:
```
UTl8Se6
1.0
3.9135 2.2595 9.4808
-3.9135 2.2595 9.4808
0.0000 -4.5190 9.4808
U Tl Se
1 8 6
Cartesian
0.0000 0.0000 0.0000
-2.6017 -0.0936 12.8317
-1.2198 -2.3000 15.6106
0.0000 0.0000 9.4488
1.3819 -2.2063 12.8317
-1.3820 2.2063 15.6106
0.0000 0.0000 18.9935
1.2198 2.3000 12.8317
2.6017 0.0936 15.6106
-1.1037 -2.5022 11.1888
-2.7188 -0.2952 17.2535
-1.6151 2.2070 11.1888
1.6151 -2.2070 17.2535
2.7188 0.2952 11.1888
1.1037 2.5022 17.2535
```

Results
Electronic total energy ... -3.9585 eV/atom
Density of states at the Fermi level ... 4.347 states/eV/cell
Formation energy (no corrections) ... -8.25 eV per formula unit

# 4
KBiSCl2O4: relaxed, PBE.

The structure in POSCAR format:
```
KBiSCl2O4
1.0
6.3952 0.0000 0.0000
0.0000 7.6333 0.0000
0.0000 0.0000 15.5273
K Bi S Cl O
4 4 4 8 16
Cartesian
0.3087 1.5399 5.4445
2.8889 6.0934 13.2082
3.5063 2.2768 10.0828
6.0865 5.3565 2.3191
0.1011 2.6969 13.6730
3.0965 4.9363 5.9093
3.2986 1.1197 1.8543
6.2941 6.5136 9.6180
0.0383 1.4747 1.7476
3.1593 6.1586 9.5112
3.2359 2.3419 13.7798
6.3568 5.2913 6.0161
0.4695 1.1562 8.6486
0.6470 3.7222 11.3370
2.5506 3.9110 3.5734
2.7281 6.4771 0.8849
3.6671 2.6604 6.8787
3.8446 0.0944 4.1903
5.7481 7.5389 11.9540
5.9256 4.9728 14.6424
0.8065 6.3899 5.4951
0.8483 1.8885 0.5625
0.8858 4.1497 6.3809
1.0059 0.9882 2.7880
2.1916 6.6451 10.5517
2.3118 3.4836 14.1445
2.3493 5.7447 8.3262
2.3911 1.2433 13.2587
4.0040 5.0600 10.0323
4.0458 1.9281 14.9648
4.0833 7.3002 9.1465
4.2035 2.8284 12.7393
5.3892 4.8048 4.9757
5.5094 0.3331 1.3828
5.5469 5.7052 7.2012
5.5887 2.5733 2.2686
```

Results
Electronic total energy ... -5.1139 eV/atom
Density of states at the Fermi level ... 0.000 states/eV/cell
Formation energy (no corrections) ... -13.39 eV per formula unit

# 5
HfSc2Ir2: relaxed, PBE.

The structure in POSCAR format:
```
HfSc2Ir2
1.0
7.8558 0.0000 0.0000
0.0000 7.8558 0.0000
0.0000 0.0000 2.9561
Hf Sc Ir
2 4 4
Cartesian
0.0000 0.0000 0.0000
3.9279 3.9279 0.0000
1.0174 2.9105 0.0000
2.9105 6.8384 0.0000
4.9453 1.0174 0.0000
6.8384 4.9453 0.0000
1.3534 5.2813 1.4780
2.5745 1.3534 1.4780
5.2813 6.5024 1.4780
6.5024 2.5745 1.4780
```

Results
Electronic total energy ... -8.6335 eV/atom
ΔH_f (0 K) ... -0.566 eV/atom
Density of states at the Fermi level ... 10.144 states/eV/cell
ΔE to the lowest computed polymorph ... 301 meV/atom

# 6
La2ErSe4: relaxed, PBE.

The structure in POSCAR format:
```
La2ErSe4
1.0
2.0188 -7.1296 0.0000
2.0188 7.1296 0.0000
0.0000 0.0000 14.1925
La Er Se
4 2 8
Cartesian
2.0188 5.2736 8.1455
2.0188 5.2736 13.1433
2.0188 -5.2736 1.0492
2.0188 -5.2736 6.0470
2.0188 1.8353 10.6444
2.0188 -1.8353 3.5481
2.0188 6.9231 10.6444
2.0188 4.0245 1.8048
2.0188 4.0245 5.2914
2.0188 0.0000 0.0000
2.0188 0.0000 7.0963
2.0188 -4.0245 8.9011
2.0188 -4.0245 12.3877
2.0188 -6.9231 3.5481
```

Results
Electronic total energy ... -5.9304 eV/atom
Density of states at the Fermi level ... 4.389 states/eV/cell
Formation energy (no corrections) ... -13.16 eV per formula unit

# 7
Sm3Al2Cd: relaxed, PBE.

The structure in POSCAR format:
```
Sm3Al2Cd
1.0
5.2823 0.0000 0.0000
-2.6411 4.5746 0.0000
0.0000 0.0000 12.9137
Sm Al Cd
6 4 2
Cartesian
0.0000 0.0000 3.1520
0.0000 0.0000 9.7617
0.0000 3.0497 5.3761
0.0000 3.0497 11.8974
2.6412 1.5249 1.0163
2.6412 1.5249 7.5376
0.0000 0.0000 0.0000
0.0000 0.0000 6.4569
0.0000 3.0497 2.1956
2.6412 1.5249 10.7182
0.0000 3.0497 8.6493
2.6412 1.5249 4.2644
```

Results
Electronic total energy ... -4.1112 eV/atom
ΔH_f (0 K) ... -0.352 eV/atom
Density of states at the Fermi level ... 9.499 states/eV/cell
ΔE to the lowest computed polymorph ... 6 meV/atom

# 8
Mn2InCl: relaxed, PBE.

The structure in POSCAR format:
```
Mn2InCl
1.0
5.0693 0.0000 0.0000
0.0000 5.0693 0.0000
0.0000 0.0000 3.0256
Mn In Cl
2 1 1
Cartesian
0.0000 2.5347 0.0000
2.5347 0.0000 0.0000
0.0000 0.0000 1.5128
2.5347 2.5347 1.5128
```

Results
Electronic total energy ... -5.4193 eV/atom
Density of states at the Fermi level ... 3.758 states/eV/cell
ΔE to the lowest computed polymorph ... 275 meV/atom
Formation energy (no corrections) ... 1.25 eV per formula unit

# 9
B2PC: relaxed, PBE.

The structure in POSCAR format:
```
B2PC
1.0
2.7986 -1.4351 0.0000
2.7986 1.4351 0.0000
-1.2455 0.0000 4.9684
B P C
2 1 1
Cartesian
0.0000 0.0000 0.0000
-0.0680 0.0000 1.7206
1.7302 0.0000 2.4765
1.6479 0.0000 4.2751
```

Results
Electronic total energy ... -6.7498 eV/atom
ΔH_f (0 K) ... 0.247 eV/atom
Density of states at the Fermi level ... 0.839 states/eV/cell
ΔE to the lowest computed polymorph ... 172 meV/atom